# SmY2InO

SmY2InO after structural relaxation (GGA-PBE, Alexandria).

Calculated values
* raw formation energy: -1.4271 eV per atom
* VASP energy: -0.477 Ry per atom
* space group: P4/mmm (123)
* D(E_F): 0.35 states/eV per atom
* crystal system: tetragonal

Cell and atoms, written as POSCAR:
```
SmY2InO
1.0
4.916 0.000 0.000
0.000 4.798 0.000
0.000 0.000 4.798
Sm Y In O
1 2 1 1
Direct
0.500 0.000 0.000
0.000 0.000 0.500
0.000 0.500 0.000
0.500 0.500 0.500
0.000 0.000 0.000
```

***

# Rb2TcAgF

Rb2TcAgF after structural relaxation (GGA-PBE, Alexandria).

Calculated values
* raw formation energy: 0.4008 eV per atom
* VASP energy: -0.221 Ry per atom
* space group: P4/mmm (123)
* D(E_F): 0.93 states/eV per atom
* crystal system: tetragonal

Cell and atoms, written as POSCAR:
```
Rb2TcAgF
1.0
-2.141 4.534 -4.400
-4.574 2.093 4.382
3.327 3.377 1.860
Rb Tc Ag F
2 1 1 1
Direct
0.000 0.500 0.000
0.500 0.000 0.000
0.000 0.000 0.000
0.000 0.000 0.500
0.500 0.500 0.500
```

***

# La2AlSb

La2AlSb after structural relaxation (GGA-PBE, Alexandria).

Calculated values
* raw formation energy: -0.1908 eV per atom
* VASP energy: -0.340 Ry per atom
* space group: F-43m (216)
* D(E_F): 1.03 states/eV per atom
* crystal system: cubic
* E above lowest polymorph: 2.27 eV per formula unit

Cell and atoms, written as POSCAR:
```
La2AlSb
1.0
5.410 0.000 0.000
2.705 4.685 0.000
2.705 1.562 4.417
Sb Al La
1 1 2
Direct
0.750 0.750 0.750
0.500 0.500 0.500
0.000 0.000 0.000
0.250 0.250 0.250
```